A plane-wave DFT calculation with PBE was carried out for Mg4Cu after structural relaxation.

Values from the calculation:
- theoretical density (Mg/m³) = 2.51
- final energy (eV/atom) = -1.976
- ΔE_f (eV per atom) = 0.12
- total moment (Bohr magnetons per cell) = 0.00

```
Mg4Cu
1.0
3.0953 0.0000 0.0000
-1.5476 2.6806 0.0000
0.0000 0.0000 12.8037
Mg Cu
4 1
direct
0.3333 0.6667 0.1589
0.3333 0.6667 0.3975
0.6667 0.3333 0.6025
0.6667 0.3333 0.8411
0.0000 0.0000 0.0000
```